# 1
First-principles (GGA-PBE) data for a geometry-optimized CuGeOsO6 structure, as listed in Alexandria via LeMat-Bulk.

Summary:
ΔE_f (raw): -0.98 eV per atom

Unit cell a=5.0418 b=5.0418 c=8.8734 alpha=90.00 beta=90.00 gamma=120.00
With the nearest neighbours (Å) after each atom.
Atoms (fractional coordinates):
Cu (0.0000, 0.0000, 0.0000)  6 O 2.16
O (0.3584, 0.3582, 0.8673)  1 Os 1.93, 1 Ge 1.93, 1 Cu 2.16
Os (0.3333, 0.6667, 0.2500)  6 O 1.93
O (0.0003, 0.6418, 0.3673)  1 Os 1.93, 1 Ge 1.93, 1 Cu 2.16
Ge (0.3333, 0.6667, 0.7500)  6 O 1.93
O (0.9997, 0.6416, 0.8673)  1 Os 1.93, 1 Ge 1.93, 1 Cu 2.16
O (0.0003, 0.3584, 0.1327)  1 Os 1.93, 1 Ge 1.93, 1 Cu 2.16
O (0.3584, 0.0003, 0.6327)  1 Os 1.93, 1 Ge 1.93, 1 Cu 2.16
Os (0.6667, 0.3333, 0.7500)  6 O 1.93
O (0.9997, 0.3582, 0.6327)  1 Os 1.93, 1 Ge 1.93, 1 Cu 2.16
Ge (0.6667, 0.3333, 0.2500)  6 O 1.93
O (0.6418, 0.0003, 0.8673)  1 Os 1.93, 1 Ge 1.93, 1 Cu 2.16
O (0.6416, 0.6418, 0.1327)  1 Os 1.93, 1 Ge 1.93, 1 Cu 2.16
O (0.6416, 0.9997, 0.3673)  1 Os 1.93, 1 Ge 1.93, 1 Cu 2.16
Cu (0.0000, 0.0000, 0.5000)  6 O 2.16
O (0.3582, 0.9997, 0.1327)  1 Os 1.93, 1 Ge 1.93, 1 Cu 2.16
O (0.3582, 0.3584, 0.3673)  1 Os 1.93, 1 Ge 1.93, 1 Cu 2.16
O (0.6418, 0.6416, 0.6327)  1 Os 1.93, 1 Ge 1.93, 1 Cu 2.16

# 2
First-principles (GGA-PBE) data for a geometry-optimized RbCd3Rh structure, as listed in Alexandria via LeMat-Bulk.

Summary:
energy relative to the lowest polymorph listed for this composition: 0.1481 eV per atom
energy relative to the elements: 0.040 eV/atom

Unit cell a=6.7871 b=8.5485 c=5.3462 alpha=90.00 beta=104.32 gamma=90.00
With the nearest neighbours (Å) after each atom.
Atoms (fractional coordinates):
Cd (0.2328, 0.0000, 0.9489)  2 Rh 2.71
Rh (0.9999, 0.2500, 0.0000)  6 Cd 2.67-2.71
Cd (0.0000, 0.2500, 0.5000)  2 Rh 2.67
Rb (0.5000, 0.7500, 0.5000)  6 Cd 3.39-3.73, 2 Rh 3.76-3.77
Cd (0.7672, 0.5000, 0.0511)  2 Rh 2.71
Cd (0.7672, 0.0000, 0.0511)  2 Rh 2.71
Cd (0.0000, 0.7500, 0.5000)  2 Rh 2.67
Cd (0.2328, 0.5000, 0.9489)  2 Rh 2.71
Rb (0.5000, 0.2500, 0.5000)  6 Cd 3.39-3.73, 2 Rh 3.76-3.77
Rh (0.0001, 0.7500, 0.0000)  6 Cd 2.67-2.71